1.
Here is ZrCo2B2 after structural relaxation from Alexandria. Energies are from PBE-GGA.

a = 3.730 Å, b = 3.361 Å, c = 8.404 Å
α = 90.00°, β = 94.48°, γ = 90.00°
Positions (direct):
Zr1 0.214 0.250 0.250
Zr2 0.786 0.750 0.750
Co1 0.250 0.750 0.504
Co2 0.336 0.250 0.904
Co3 0.664 0.750 0.096
Co4 0.750 0.250 0.496
B1 0.147 0.750 0.014
B2 0.274 0.250 0.640
B3 0.726 0.750 0.360
B4 0.853 0.250 0.986

Results
- Total energy: -78.0 eV for the cell shown
- Space group: P2_1/m (11)
- Energy relative to the elements: -0.57 eV/atom
- Crystal system: monoclinic

2.
Here is Zr2CoB after structural relaxation from Alexandria. Energies are from PBE-GGA.

a = 5.148 Å, b = 3.582 Å, c = 7.038 Å
α = 90.00°, β = 109.72°, γ = 90.00°
Positions (direct):
Zr1 0.212 0.250 0.422
Zr2 0.223 0.250 0.932
Zr3 0.777 0.750 0.068
Zr4 0.788 0.750 0.578
Co1 0.381 0.750 0.221
Co2 0.619 0.250 0.779
B1 0.350 0.750 0.707
B2 0.650 0.250 0.293

Results
- Total energy: -64.7 eV for the cell shown
- Space group: P2_1/m (11)
- Energy relative to the elements: -0.37 eV/atom
- Crystal system: monoclinic

3.
Here is ZrCo12B4 after structural relaxation from Alexandria. Energies are from PBE-GGA.

a = 6.205 Å, b = 6.205 Å, c = 6.205 Å
α = 109.47°, β = 109.47°, γ = 109.47°
Positions (direct):
Zr1 0.000 0.000 0.000
Co1 0.164 0.337 0.828
Co2 0.172 0.509 0.337
Co3 0.172 0.836 0.663
Co4 0.337 0.172 0.509
Co5 0.337 0.828 0.164
Co6 0.491 0.663 0.828
Co7 0.509 0.337 0.172
Co8 0.663 0.172 0.836
Co9 0.663 0.828 0.491
Co10 0.828 0.164 0.337
Co11 0.828 0.491 0.663
Co12 0.836 0.663 0.172
B1 0.000 0.000 0.500
B2 0.000 0.500 0.000
B3 0.500 0.000 0.000
B4 0.500 0.500 0.500

Results
- Total energy: -119.5 eV for the cell shown
- Space group: Im-3 (204)
- Energy relative to the elements: 0.06 eV/atom
- Crystal system: cubic

4.
Here is ZrCoB2 after structural relaxation from Alexandria. Energies are from PBE-GGA.

a = 3.945 Å, b = 3.945 Å, c = 3.945 Å
α = 60.00°, β = 60.00°, γ = 60.00°
Positions (direct):
Zr1 0.000 0.000 0.000
Co1 0.500 0.500 0.500
B1 0.250 0.250 0.250
B2 0.750 0.750 0.750

Results
- Total energy: -28.4 eV for the cell shown
- Space group: Fm-3m (225)
- Energy relative to the elements: 0.16 eV/atom
- Crystal system: cubic

5.
Here is ZrCo8B4 after structural relaxation from Alexandria. Energies are from PBE-GGA.

a = 5.743 Å, b = 5.743 Å, c = 5.743 Å
α = 98.29°, β = 98.29°, γ = 135.37°
Positions (direct):
Zr1 0.000 0.000 0.000
Co1 0.000 0.343 0.343
Co2 0.000 0.657 0.657
Co3 0.274 0.500 0.774
Co4 0.343 0.000 0.343
Co5 0.500 0.274 0.774
Co6 0.500 0.726 0.226
Co7 0.657 0.000 0.657
Co8 0.726 0.500 0.226
B1 0.000 0.000 0.500
B2 0.000 0.500 0.000
B3 0.500 0.000 0.000
B4 0.500 0.500 0.500

Results
- Total energy: -94.2 eV for the cell shown
- Space group: I4/mmm (139)
- Energy relative to the elements: -0.16 eV/atom
- Crystal system: tetragonal

6.
Here is ZrCo2B4 after structural relaxation from Alexandria. Energies are from PBE-GGA.

a = 6.699 Å, b = 6.699 Å, c = 6.699 Å
α = 153.37°, β = 151.97°, γ = 39.05°
Positions (direct):
Zr1 0.000 0.000 0.000
Co1 0.188 0.688 0.500
Co2 0.812 0.312 0.500
B1 0.347 0.847 0.500
B2 0.418 0.418 0.000
B3 0.582 0.582 0.000
B4 0.653 0.153 0.500

Results
- Total energy: -53.0 eV for the cell shown
- Space group: Immm (71)
- Energy relative to the elements: -0.51 eV/atom
- Crystal system: orthorhombic

7.
Here is ZrCo6B2 after structural relaxation from Alexandria. Energies are from PBE-GGA.

a = 6.809 Å, b = 6.809 Å, c = 6.809 Å
α = 60.00°, β = 60.00°, γ = 60.00°
Positions (direct):
Zr1 0.125 0.125 0.125
Zr2 0.875 0.875 0.875
Co1 0.157 0.157 0.593
Co2 0.157 0.593 0.157
Co3 0.157 0.593 0.593
Co4 0.407 0.407 0.843
Co5 0.407 0.843 0.407
Co6 0.407 0.843 0.843
Co7 0.593 0.157 0.157
Co8 0.593 0.157 0.593
Co9 0.593 0.593 0.157
Co10 0.843 0.407 0.407
Co11 0.843 0.407 0.843
Co12 0.843 0.843 0.407
B1 0.000 0.500 0.500
B2 0.500 0.000 0.500
B3 0.500 0.500 0.000
B4 0.500 0.500 0.500

Results
- Total energy: -125.8 eV for the cell shown
- Space group: Fd-3m (227)
- Energy relative to the elements: 0.18 eV/atom
- Crystal system: cubic

8.
Here is ZrCo4B4 after structural relaxation from Alexandria. Energies are from PBE-GGA.

a = 4.945 Å, b = 4.945 Å, c = 6.890 Å
α = 90.00°, β = 90.00°, γ = 90.00°
Positions (direct):
Zr1 0.250 0.750 0.250
Zr2 0.750 0.250 0.750
Co1 0.000 0.250 0.111
Co2 0.000 0.750 0.889
Co3 0.250 0.000 0.611
Co4 0.250 0.500 0.611
Co5 0.500 0.250 0.111
Co6 0.500 0.750 0.889
Co7 0.750 0.000 0.389
Co8 0.750 0.500 0.389
B1 0.074 0.250 0.408
B2 0.250 0.074 0.908
B3 0.250 0.426 0.908
B4 0.426 0.250 0.408
B5 0.574 0.750 0.592
B6 0.750 0.574 0.092
B7 0.750 0.926 0.092
B8 0.926 0.750 0.592

Results
- Total energy: -136.6 eV for the cell shown
- Space group: P4_2/nmc (137)
- Energy relative to the elements: -0.52 eV/atom
- Crystal system: tetragonal